Entry 1:
A plane-wave DFT calculation with PBE was carried out for a relaxed structure of BeOsO3.

Summary:
Raw total energy   -6.1600 eV/atom
Space-group type   Pm-3m
Raw formation energy   -0.194 eV/atom

Geometry as POSCAR:
```
BeOsO3
1.0
3.836 0.000 0.000
0.000 3.836 0.000
0.000 0.000 3.836
Be Os O
1 1 3
Cartesian
0.000 0.000 0.000
1.918 1.918 1.918
0.000 1.918 1.918
1.918 0.000 1.918
1.918 1.918 0.000
```



Entry 2:
A plane-wave DFT calculation with PBE was carried out for a relaxed structure of BeOsO2.

Summary:
Raw total energy   -7.1543 eV/atom
Space-group type   I-42d
Raw formation energy   -0.936 eV/atom

Geometry as POSCAR:
```
BeOsO2
1.0
4.384 0.000 0.000
0.000 4.384 0.000
0.000 0.000 7.900
Be Os O
4 4 8
Cartesian
0.000 0.000 0.000
0.000 2.192 1.975
2.192 0.000 5.925
2.192 2.192 3.950
0.000 0.000 3.950
0.000 2.192 5.925
2.192 0.000 1.975
2.192 2.192 0.000
0.695 1.096 0.988
1.096 2.887 2.963
1.096 3.690 6.913
1.497 1.096 4.938
2.887 3.288 4.938
3.288 0.695 6.913
3.288 1.497 2.963
3.690 3.288 0.988
```



Entry 3:
A plane-wave DFT calculation with PBE was carried out for a relaxed structure of BePOsO2.

Summary:
Raw total energy   -6.0358 eV/atom
Space-group type   P4/mmm
Distance to the lowest polymorph of the same formula   0.1629 eV per atom
Raw formation energy   0.021 eV/atom

Geometry as POSCAR:
```
BePOsO2
1.0
3.275 0.000 0.000
0.000 3.275 0.000
0.000 0.000 6.228
Be P Os O
1 1 1 2
Cartesian
0.000 0.000 0.000
0.000 0.000 3.114
1.637 1.637 3.114
0.000 1.637 0.000
1.637 0.000 0.000
```



Entry 4:
A plane-wave DFT calculation with PBE was carried out for a relaxed structure of BePOsO2.

Summary:
Raw total energy   -6.1987 eV/atom
Space-group type   P4/mmm
Distance to the lowest polymorph of the same formula   0.0000 eV per atom
Raw formation energy   -0.142 eV/atom

Geometry as POSCAR:
```
BePOsO2
1.0
3.688 0.000 0.000
0.000 3.688 0.000
0.000 0.000 5.353
Be P Os O
1 1 1 2
Cartesian
0.000 0.000 0.000
1.844 1.844 0.000
1.844 1.844 2.677
0.000 1.844 2.677
1.844 0.000 2.677
```